Record 1
VASP calculation (PBE) on a geometry-optimized USe5 structure.

Results
raw formation energy: -41.4 kJ per mole of atoms
uncorrected energy: -31.3 eV for the cell shown
spin magnetization: 1.397 μB/cell

Geometry as POSCAR:
```
USe5
1.0
1.992 -9.217 0.000
1.992 9.217 0.000
0.000 0.000 3.983
U Se
1 5
Cartesian
0.000 0.000 0.000
1.992 6.688 1.992
1.992 2.530 0.000
1.992 0.000 1.992
1.992 -2.530 0.000
1.992 -6.688 1.992
```

Record 2
VASP calculation (PBE) on a geometry-optimized USe2 structure.

Results
raw formation energy: -106.5 kJ per mole of atoms
uncorrected energy: -64.7 eV for the cell shown
spin magnetization: 5.994 μB/cell

Geometry as POSCAR:
```
USe2
1.0
7.695 0.000 0.000
-3.847 6.664 0.000
0.000 0.000 4.068
U Se
3 6
Cartesian
0.000 0.000 0.000
0.000 4.443 2.034
3.847 2.221 2.034
-1.000 1.732 2.034
-2.291 3.969 0.000
2.000 0.000 2.034
1.556 2.695 0.000
4.583 0.000 0.000
2.847 4.932 2.034
```

Record 3
VASP calculation (PBE) on a geometry-optimized USe4 structure.

Results
raw formation energy: -14.8 kJ per mole of atoms
uncorrected energy: -26.0 eV for the cell shown
spin magnetization: 1.982 μB/cell

Geometry as POSCAR:
```
USe4
1.0
5.374 0.000 0.000
0.000 5.374 0.000
0.000 0.000 5.374
U Se
1 4
Cartesian
0.000 0.000 0.000
0.000 0.000 2.687
0.000 2.687 0.000
2.687 0.000 0.000
2.687 2.687 2.687
```

Record 4
VASP calculation (PBE) on a geometry-optimized USe2 structure.

Results
raw formation energy: -106.2 kJ per mole of atoms
uncorrected energy: -86.2 eV for the cell shown
spin magnetization: 7.998 μB/cell

Geometry as POSCAR:
```
USe2
1.0
7.494 0.000 0.000
0.000 4.127 0.000
0.000 0.000 9.077
U Se
4 8
Cartesian
1.838 1.032 1.198
1.909 3.095 5.737
5.585 1.032 3.340
5.656 3.095 7.879
0.236 3.095 3.042
1.059 3.095 8.461
2.688 1.032 3.922
3.510 1.032 7.580
3.983 3.095 1.497
4.806 3.095 5.155
6.435 1.032 0.616
7.257 1.032 6.035
```

Record 5
VASP calculation (PBE) on a geometry-optimized U5Se6 structure.

Results
raw formation energy: -102.9 kJ per mole of atoms
uncorrected energy: -89.1 eV for the cell shown
spin magnetization: 13.786 μB/cell

Geometry as POSCAR:
```
U5Se6
1.0
3.512 -6.102 0.000
3.512 6.102 0.000
-2.381 0.000 6.487
U Se
5 6
Cartesian
0.000 0.000 0.000
2.321 4.092 3.244
3.512 2.098 0.000
3.512 -2.098 0.000
2.321 -4.092 3.244
1.218 1.949 1.703
0.064 0.000 4.844
1.218 -1.949 1.703
3.425 1.949 4.784
4.578 0.000 1.643
3.425 -1.949 4.784
```

Record 6
VASP calculation (PBE) on a geometry-optimized USe2 structure.

Results
raw formation energy: -106.0 kJ per mole of atoms
uncorrected energy: -21.6 eV for the cell shown
spin magnetization: 2.000 μB/cell

Geometry as POSCAR:
```
USe2
1.0
0.000 3.404 3.404
3.404 0.000 3.404
3.404 3.404 0.000
U Se
1 2
Cartesian
0.000 0.000 0.000
1.702 1.702 1.702
5.106 5.106 5.106
```

Record 7
VASP calculation (PBE) on a geometry-optimized U3Se4 structure.

Results
raw formation energy: -97.6 kJ per mole of atoms
uncorrected energy: -54.9 eV for the cell shown
spin magnetization: 9.847 μB/cell
excess energy over the best structure of this formula in the dataset: 72 meV/atom

Geometry as POSCAR:
```
U3Se4
1.0
2.483 1.434 8.029
-2.483 1.434 8.029
0.000 -2.867 8.029
U Se
3 4
Cartesian
0.000 0.000 0.000
0.000 0.000 5.831
0.000 0.000 18.255
0.000 0.000 2.928
0.000 0.000 8.950
0.000 0.000 15.136
0.000 0.000 21.158
```

Record 8
VASP calculation (PBE) on a geometry-optimized U3Se structure.

Results
raw formation energy: -18.1 kJ per mole of atoms
uncorrected energy: -38.1 eV for the cell shown
spin magnetization: 0.294 μB/cell

Geometry as POSCAR:
```
U3Se
1.0
3.159 0.000 0.000
0.000 5.020 0.000
0.000 0.000 5.143
U Se
3 1
Cartesian
0.000 0.000 0.000
0.000 2.510 1.913
1.580 0.000 2.751
1.580 2.510 4.475
```

Record 9
VASP calculation (PBE) on a geometry-optimized USe2 structure.

Results
raw formation energy: -109.4 kJ per mole of atoms
uncorrected energy: -216.6 eV for the cell shown
spin magnetization: 20.002 μB/cell

Geometry as POSCAR:
```
USe2
1.0
10.653 0.000 0.000
0.000 10.653 0.000
0.000 0.000 6.567
U Se
10 20
Cartesian
0.970 9.639 1.635
1.014 6.297 4.933
2.663 2.663 0.929
4.312 9.683 4.933
4.356 6.341 1.635
6.297 4.312 4.933
6.341 0.970 1.635
7.990 7.990 5.638
9.639 4.356 1.635
9.683 1.014 4.933
0.434 1.728 2.498
0.441 3.597 5.816
1.730 0.441 5.816
1.728 4.893 2.498
2.663 7.990 0.000
2.663 7.990 3.284
3.598 0.434 2.498
3.597 4.885 5.816
4.885 1.730 5.816
4.893 3.598 2.498
5.760 7.055 4.069
5.768 8.923 0.751
7.056 5.768 0.751
7.055 10.219 4.069
7.990 2.663 0.000
7.990 2.663 3.284
8.925 5.760 4.069
8.923 10.212 0.751
10.212 7.056 0.751
10.219 8.925 4.069
```

Record 10
VASP calculation (PBE) on a geometry-optimized U3Se8 structure.

Results
raw formation energy: -84.1 kJ per mole of atoms
uncorrected energy: -71.3 eV for the cell shown
spin magnetization: 2.826 μB/cell

Geometry as POSCAR:
```
U3Se8
1.0
6.660 0.000 0.000
0.000 6.660 0.000
0.000 0.000 6.660
U Se
3 8
Cartesian
0.000 0.000 3.330
0.000 3.330 0.000
3.330 0.000 0.000
1.648 1.648 1.648
1.648 1.648 5.011
1.648 5.011 1.648
1.648 5.011 5.011
5.011 1.648 1.648
5.011 1.648 5.011
5.011 5.011 1.648
5.011 5.011 5.011
```

Record 11
VASP calculation (PBE) on a geometry-optimized UVSe structure.

Results
raw formation energy: -2.0 kJ per mole of atoms
uncorrected energy: -95.8 eV for the cell shown
spin magnetization: 3.656 μB/cell

Geometry as POSCAR:
```
UVSe
1.0
8.856 0.000 0.000
0.000 8.856 0.000
0.000 0.000 3.291
U V Se
4 4 4
Cartesian
0.132 1.864 0.000
1.864 8.724 1.645
6.993 0.132 1.645
8.724 6.993 0.000
2.071 6.320 1.645
2.536 2.071 0.000
6.320 6.785 0.000
6.785 2.536 1.645
1.812 3.789 1.645
3.789 7.044 0.000
5.067 1.812 0.000
7.044 5.067 1.645
```

Record 12
VASP calculation (PBE) on a geometry-optimized U8VSe17 structure.

Results
raw formation energy: -109.1 kJ per mole of atoms
uncorrected energy: -188.1 eV for the cell shown
spin magnetization: 19.000 μB/cell

Geometry as POSCAR:
```
U8VSe17
1.0
6.940 -4.385 0.000
6.940 4.385 0.000
-2.123 0.000 10.629
U V Se
8 1 17
Cartesian
4.404 2.276 8.483
0.776 0.000 10.194
7.352 2.276 2.146
3.407 0.000 5.169
8.349 0.000 5.460
4.404 -2.276 8.483
10.980 0.000 0.435
7.352 -2.276 2.146
-1.062 0.000 5.314
0.000 0.000 0.000
3.966 2.723 5.603
-0.712 0.000 7.745
5.103 1.690 0.389
2.497 0.000 2.387
2.592 0.000 7.931
7.790 2.723 5.026
6.653 1.690 10.240
5.944 0.000 3.514
5.812 0.000 7.114
5.103 -1.690 0.389
3.966 -2.723 5.603
9.164 0.000 2.698
9.259 0.000 8.242
6.653 -1.690 10.240
12.468 0.000 2.884
7.790 -2.723 5.026
```